Below is a geometry-optimized Cs3MnO structure, with properties calculated at the PBE+U level.

Structure (extended XYZ):
```
5
Lattice="6.1007 0.0000 0.0000 0.0000 6.1007 0.0000 0.0000 0.0000 6.1007" Properties=species:S:1:pos:R:3 pbc="T T T"
Cs 0.0000 0.0000 3.0504
Cs 0.0000 3.0504 0.0000
Cs 3.0504 0.0000 0.0000
Mn 3.0504 3.0504 3.0504
O 0.0000 0.0000 0.0000
```

Values from the calculation:
* magnetic moment: 5.9 Bohr magnetons per cell
* E_tot: -3.113 eV per atom